A plane-wave DFT calculation with PBE was carried out for an optimized crystal structure of TcRhPb4.

The structure belongs to space group F-43m (No. 216); the cell edges are 8.733, 8.733 and 8.733 Å and the angles 90.00°, 90.00° and 90.00°. The distinct sites, in fractional coordinates, are Tc at (0.000, 0.000, 0.000), Rh at (0.250, 0.250, 0.250) and Pb at (0.125, 0.125, 0.625).

The density of states at the Fermi level comes out at 24.66 states/eV/cell. The value obtained for the formation energy is 1.16 eV/atom.